[1]
{
  "formula": "FeC2",
  "functional": "PBE",
  "state": "optimized geometry",
  "lattice": [[0.000, 2.902, 2.902], [2.902, 0.000, 2.902], [2.902, 2.902, 0.000]],
  "species": ["C", "C", "C", "Fe", "C", "Fe"],
  "fractional_positions": [[0.125, 0.625, 0.125], [0.125, 0.125, 0.125], [0.125, 0.125, 0.625], [0.500, 0.500, 0.500], [0.625, 0.125, 0.125], [0.750, 0.750, 0.750]],
  "dft_energy_ev_per_atom": -6.376,
  "formation_energy_kj_per_mol_fu": 751
}

[2]
{
  "formula": "FeC3",
  "functional": "PBE",
  "state": "optimized geometry",
  "lattice": [[3.494, 0.000, 0.000], [1.747, 3.026, 0.000], [1.747, 1.009, 2.853]],
  "species": ["C", "Fe", "C", "C"],
  "fractional_positions": [[0.250, 0.250, 0.250], [0.750, 0.750, 0.750], [0.500, 0.500, 0.500], [0.000, 0.000, 0.000]],
  "dft_energy_ev_per_atom": -6.160,
  "formation_energy_kj_per_mol_fu": 1109
}

[3]
{
  "formula": "FeC3",
  "functional": "PBE",
  "state": "optimized geometry",
  "lattice": [[-0.924, -0.757, 2.838], [-2.519, -2.341, -1.445], [2.776, -2.161, -1.341]],
  "species": ["C", "C", "C", "Fe"],
  "fractional_positions": [[0.861, 0.680, 0.491], [0.737, 0.000, 0.245], [0.861, 0.320, 0.491], [0.068, 0.000, 0.906]],
  "dft_energy_ev_per_atom": -8.115,
  "formation_energy_kj_per_mol_fu": 355
}

The records above give, respectively, energy above the lowest structure with this stoichiometry values of 2076; 2302; 348 meV/atom.